DFT (PBE) results for a relaxed Sc2Ru crystal.

a = 3.186 Å, b = 3.186 Å, c = 24.890 Å
α = 90.00°, β = 90.00°, γ = 90.00°
Space group I4_1/amd (No. 141, origin choice 2)
Asymmetric unit:
1 Sc 0.000 0.250 0.313
2 Ru 0.000 0.250 0.875

electronic total energy: -7.720 eV per atom
density: 5.0 g cm⁻³
formation energy from the elements: -407 meV/atom